Record 1
Density functional theory data (GGA-PBE) for CsMgGaMo2 after structural relaxation.

## Properties
E_tot   -3.999 eV per atom

Structure (CIF):
```
data_CsMgGaMo2
_symmetry_space_group_name_H-M 'P 4/m m m'
_symmetry_Int_Tables_number 123
_symmetry_space_group_name_Hall '-P 4 2'
_cell_length_a 5.160
_cell_length_b 5.160
_cell_length_c 5.245
_cell_angle_alpha 90.00
_cell_angle_beta 90.00
_cell_angle_gamma 90.00
loop_
_atom_site_label
_atom_site_fract_x
_atom_site_fract_y
_atom_site_fract_z
_atom_site_occupancy
Cs1 0.000 0.000 0.000 1
Mg1 0.500 0.500 0.000 1
Ga1 0.500 0.500 0.500 1
Mo1 0.000 0.500 0.500 1
```

Record 2
Density functional theory data (GGA-PBE) for Na5Mo2N6 after structural relaxation.

## Properties
Formation energy from raw total energies   -202.1 meV per atom

Structure (CIF):
```
data_Na5Mo2N6
_symmetry_space_group_name_H-M 'C 1 2/c 1'
_symmetry_Int_Tables_number 15
_cell_length_a 10.651
_cell_length_b 6.034
_cell_length_c 14.177
_cell_angle_alpha 90.00
_cell_angle_beta 94.51
_cell_angle_gamma 90.00
loop_
_symmetry_equiv_pos_as_xyz
'x,y,z'
'-x,-y,-z'
'-x,y,-z+1/2'
'x,-y,z+1/2'
'x+1/2,y+1/2,z'
'-x+1/2,-y+1/2,-z'
'-x+1/2,y+1/2,-z+1/2'
'x+1/2,-y+1/2,z+1/2'
loop_
_atom_site_label
_atom_site_fract_x
_atom_site_fract_y
_atom_site_fract_z
_atom_site_occupancy
Na1 0.000 0.081 0.250 1
Na2 0.092 0.245 0.024 1
Na3 0.141 0.460 0.711 1
Mo1 0.213 0.347 0.412 1
N1 0.052 0.404 0.366 1
N2 0.177 0.063 0.671 1
N3 0.243 0.044 0.459 1
```

Record 3
Density functional theory data (GGA-PBE) for KNaHg3 after structural relaxation.

## Properties
Energy relative to the lowest polymorph listed for this composition   0.0 meV per atom

Structure (CIF):
```
data_KNaHg3
_symmetry_space_group_name_H-M 'C m c m'
_symmetry_Int_Tables_number 63
_symmetry_space_group_name_Hall '-C 2c 2'
_cell_length_a 3.908
_cell_length_b 30.430
_cell_length_c 5.200
_cell_angle_alpha 90.00
_cell_angle_beta 90.00
_cell_angle_gamma 90.00
loop_
_atom_site_label
_atom_site_fract_x
_atom_site_fract_y
_atom_site_fract_z
_atom_site_occupancy
K1 0.000 0.078 0.250 1
Na1 0.000 0.212 0.750 1
Hg1 0.000 0.315 0.750 1
Hg2 0.000 0.370 0.250 1
Hg3 0.000 0.473 0.250 1
```

no.,density of states at the Fermi level (states/eV per cell)
1,5.17
2,16.25
3,8.56